1.
The following is a DFT calculation (PBE) of Tc2PIr after structural relaxation.

Lattice parameters (Å, degrees): 2.8732 4.3427 8.8181 90.00 90.00 90.00
Space group Imm2 (No. 44)
One atom of each set of equivalent atoms:
Tc  0.0000  0.0000  0.0000
Tc  0.0000  0.5000  0.2193
P  0.0000  0.5000  0.7169
Ir  0.0000  0.0000  0.4321

* raw total energy: -9.005 eV per atom
* calculated formation energy: -0.25 eV/atom

2.
The following is a DFT calculation (PBE) of TcPIr2 after structural relaxation.

Lattice parameters (Å, degrees): 5.2445 9.3164 2.7863 90.00 121.01 90.00
Space group C2/m (No. 12)
One atom of each set of equivalent atoms:
Tc  0.0000  0.0000  0.0000
P  0.0000  0.5000  0.0000
Ir  0.2500  0.2500  0.5000

* raw total energy: -8.079 eV per atom
* calculated formation energy: 0.30 eV/atom

3.
The following is a DFT calculation (PBE) of TcP2Ir after structural relaxation.

Lattice parameters (Å, degrees): 2.8566 2.8566 7.6874 90.00 90.00 90.00
Space group P4mm (No. 99)
One atom of each set of equivalent atoms:
Tc  0.0000  0.0000  0.0000
P  0.0000  0.0000  0.4523
P  0.5000  0.5000  0.8223
Ir  0.5000  0.5000  0.2675

* raw total energy: -7.589 eV per atom
* calculated formation energy: -0.08 eV/atom

4.
The following is a DFT calculation (PBE) of TcPIr2 after structural relaxation.

Lattice parameters (Å, degrees): 2.8058 2.8058 24.6176 90.00 90.00 120.00
Space group R-3m (No. 166, hexagonal axes)
One atom of each set of equivalent atoms:
Tc  0.0000  0.0000  0.0000
P  0.0000  0.0000  0.5000
Ir  0.0000  0.0000  0.2424

* raw total energy: -8.457 eV per atom
* calculated formation energy: -0.08 eV/atom